The following is a PBE-GGA calculation of crystalline BaLa3Te at its relaxed geometry, from Alexandria via LeMat-Bulk.

The space group is Pm-3m (No. 221) and the conventional cell measures 5.899, 5.899 and 5.899 Å, with angles of 90.00, 90.00 and 90.00 degrees. Symmetry generates all atoms from Ba at (0.000, 0.000, 0.000), La at (0.000, 0.000, 0.500) and Te at (0.500, 0.500, 0.500).

As for the energy above the most stable polymorph in this dataset: 4.19 eV per formula unit. The value obtained for the energy relative to the elements, uncorrected is 0.532 eV/atom. The total moment comes out at 0.0000 μB/atom. The value obtained for the calculated volume is 41.0 A^3/atom. The value obtained for the density of states at the Fermi level is 7.232 states/eV/cell. As for the total energy: -3.4372 eV per atom.